# LuThCdAg (PBE, relaxed)
data_LuThCdAg
_cell_length_a 5.268
_cell_length_b 5.268
_cell_length_c 5.268
_cell_angle_alpha 60.00
_cell_angle_beta 60.00
_cell_angle_gamma 60.00
_symmetry_space_group_name_H-M 'P 1'
_symmetry_Int_Tables_number 1
loop_
_symmetry_equiv_pos_as_xyz
'x,y,z'
loop_
_atom_site_label
_atom_site_fract_x
_atom_site_fract_y
_atom_site_fract_z
_atom_site_occupancy
Lu1 0.000 0.000 0.000 1
Th1 0.500 0.500 0.500 1
Cd1 0.750 0.750 0.750 1
Ag1 0.250 0.250 0.250 1
# - SG = F-43m (216)
# - E_form (meV per atom) = -132
# - theoretical density (g/cm³) = 10.08

---

# NdTm2Zn (PBE, relaxed)
data_NdTm2Zn
_cell_length_a 10.461
_cell_length_b 10.461
_cell_length_c 10.461
_cell_angle_alpha 19.69
_cell_angle_beta 19.69
_cell_angle_gamma 19.69
_symmetry_space_group_name_H-M 'P 1'
_symmetry_Int_Tables_number 1
loop_
_symmetry_equiv_pos_as_xyz
'x,y,z'
loop_
_atom_site_label
_atom_site_fract_x
_atom_site_fract_y
_atom_site_fract_z
_atom_site_occupancy
Nd1 0.000 0.000 0.000 1
Tm1 0.570 0.570 0.570 1
Tm2 0.763 0.763 0.763 1
Zn1 0.166 0.166 0.166 1
# - SG = R3m (160)
# - energy above the most stable polymorph in this dataset (eV/atom) = 0.1160
# - E_form (meV per atom) = -54
# - theoretical density (g/cm³) = 8.00

---

# CrCu2Ge (PBE, relaxed)
data_CrCu2Ge
_cell_length_a 3.639
_cell_length_b 3.639
_cell_length_c 3.937
_cell_angle_alpha 90.00
_cell_angle_beta 90.00
_cell_angle_gamma 90.00
_symmetry_space_group_name_H-M 'P 1'
_symmetry_Int_Tables_number 1
loop_
_symmetry_equiv_pos_as_xyz
'x,y,z'
loop_
_atom_site_label
_atom_site_fract_x
_atom_site_fract_y
_atom_site_fract_z
_atom_site_occupancy
Cr1 0.000 0.000 0.000 1
Cu1 0.000 0.500 0.500 1
Cu2 0.500 0.000 0.500 1
Ge1 0.500 0.500 0.000 1
# - SG = P4/mmm (123)
# - E_form (meV per atom) = 71
# - theoretical density (g/cm³) = 8.02

---

# LaTlI2O (PBE, relaxed)
data_LaTlI2O
_cell_length_a 6.354
_cell_length_b 6.354
_cell_length_c 4.179
_cell_angle_alpha 90.00
_cell_angle_beta 90.00
_cell_angle_gamma 90.00
_symmetry_space_group_name_H-M 'P 1'
_symmetry_Int_Tables_number 1
loop_
_symmetry_equiv_pos_as_xyz
'x,y,z'
loop_
_atom_site_label
_atom_site_fract_x
_atom_site_fract_y
_atom_site_fract_z
_atom_site_occupancy
La1 0.000 0.000 0.000 1
Tl1 0.500 0.500 0.500 1
I1 0.000 0.500 0.500 1
I2 0.500 0.000 0.500 1
O1 0.500 0.500 0.000 1
# - SG = P4/mmm (123)
# - energy above the most stable polymorph in this dataset (eV/atom) = 1.1039
# - theoretical density (g/cm³) = 6.03

---

# Sm2HoRu (PBE, relaxed)
data_Sm2HoRu
_cell_length_a 6.308
_cell_length_b 6.308
_cell_length_c 9.243
_cell_angle_alpha 90.00
_cell_angle_beta 90.00
_cell_angle_gamma 143.11
_symmetry_space_group_name_H-M 'P 1'
_symmetry_Int_Tables_number 1
loop_
_symmetry_equiv_pos_as_xyz
'x,y,z'
loop_
_atom_site_label
_atom_site_fract_x
_atom_site_fract_y
_atom_site_fract_z
_atom_site_occupancy
Sm1 0.141 0.859 0.568 1
Sm2 0.141 0.859 0.932 1
Sm3 0.859 0.141 0.068 1
Sm4 0.859 0.141 0.432 1
Ho1 0.420 0.580 0.750 1
Ho2 0.580 0.420 0.250 1
Ru1 0.241 0.759 0.250 1
Ru2 0.759 0.241 0.750 1
# - SG = Cmcm (63)
# - energy above the most stable polymorph in this dataset (eV/atom) = 0.0198
# - E_form (meV per atom) = -243
# - theoretical density (g/cm³) = 8.53

---

# Sc2Sn2S (PBE, relaxed)
data_Sc2Sn2S
_cell_length_a 6.931
_cell_length_b 6.931
_cell_length_c 4.684
_cell_angle_alpha 90.00
_cell_angle_beta 90.00
_cell_angle_gamma 90.00
_symmetry_space_group_name_H-M 'P 1'
_symmetry_Int_Tables_number 1
loop_
_symmetry_equiv_pos_as_xyz
'x,y,z'
loop_
_atom_site_label
_atom_site_fract_x
_atom_site_fract_y
_atom_site_fract_z
_atom_site_occupancy
Sc1 0.170 0.330 0.000 1
Sc2 0.330 0.830 0.000 1
Sc3 0.670 0.170 0.000 1
Sc4 0.830 0.670 0.000 1
Sn1 0.147 0.647 0.500 1
Sn2 0.353 0.147 0.500 1
Sn3 0.647 0.853 0.500 1
Sn4 0.853 0.353 0.500 1
S1 0.000 0.000 0.000 1
S2 0.500 0.500 0.000 1
# - SG = P4/mbm (127)
# - uncorrected energy (eV/cell) = -58.0
# - theoretical density (g/cm³) = 5.30

---

# Tb2PrY6Er3 (PBE, relaxed)
data_Tb2PrY6Er3
_cell_length_a 6.174
_cell_length_b 6.174
_cell_length_c 11.813
_cell_angle_alpha 94.98
_cell_angle_beta 94.98
_cell_angle_gamma 119.95
_symmetry_space_group_name_H-M 'P 1'
_symmetry_Int_Tables_number 1
loop_
_symmetry_equiv_pos_as_xyz
'x,y,z'
loop_
_atom_site_label
_atom_site_fract_x
_atom_site_fract_y
_atom_site_fract_z
_atom_site_occupancy
Tb1 0.167 0.833 0.000 1
Tb2 0.833 0.167 0.000 1
Pr1 0.500 0.500 0.000 1
Y1 0.081 0.415 0.747 1
Y2 0.251 0.251 0.253 1
Y3 0.415 0.081 0.747 1
Y4 0.585 0.919 0.253 1
Y5 0.749 0.749 0.747 1
Y6 0.919 0.585 0.253 1
Er1 0.000 0.000 0.500 1
Er2 0.333 0.667 0.500 1
Er3 0.667 0.333 0.500 1
# - SG = C2/m (12)
# - E_form (meV per atom) = 22
# - theoretical density (g/cm³) = 6.46

---

# Sr3Nd2TaAs6 (PBE, relaxed)
data_Sr3Nd2TaAs6
_cell_length_a 7.291
_cell_length_b 7.291
_cell_length_c 7.567
_cell_angle_alpha 99.35
_cell_angle_beta 99.35
_cell_angle_gamma 120.12
_symmetry_space_group_name_H-M 'P 1'
_symmetry_Int_Tables_number 1
loop_
_symmetry_equiv_pos_as_xyz
'x,y,z'
loop_
_atom_site_label
_atom_site_fract_x
_atom_site_fract_y
_atom_site_fract_z
_atom_site_occupancy
Sr1 0.000 0.000 0.000 1
Sr2 0.327 0.673 0.000 1
Sr3 0.673 0.327 0.000 1
Nd1 0.165 0.835 0.500 1
Nd2 0.835 0.165 0.500 1
Ta1 0.500 0.500 0.500 1
As1 0.123 0.428 0.281 1
As2 0.272 0.272 0.721 1
As3 0.428 0.123 0.281 1
As4 0.572 0.877 0.719 1
As5 0.728 0.728 0.279 1
As6 0.877 0.572 0.719 1
# - SG = C2/m (12)
# - E_form (meV per atom) = -1049
# - theoretical density (g/cm³) = 5.96

---

# YZrTc2 (PBE, relaxed)
data_YZrTc2
_cell_length_a 6.192
_cell_length_b 6.192
_cell_length_c 6.192
_cell_angle_alpha 153.10
_cell_angle_beta 132.02
_cell_angle_gamma 55.86
_symmetry_space_group_name_H-M 'P 1'
_symmetry_Int_Tables_number 1
loop_
_symmetry_equiv_pos_as_xyz
'x,y,z'
loop_
_atom_site_label
_atom_site_fract_x
_atom_site_fract_y
_atom_site_fract_z
_atom_site_occupancy
Y1 0.000 0.000 0.000 1
Zr1 0.500 0.500 0.000 1
Tc1 0.258 0.258 0.000 1
Tc2 0.742 0.742 0.000 1
# - SG = Immm (71)
# - E_form (meV per atom) = 851
# - theoretical density (g/cm³) = 7.87

---

# LaMg2ZrTc (PBE, relaxed)
data_LaMg2ZrTc
_cell_length_a 5.470
_cell_length_b 5.470
_cell_length_c 5.382
_cell_angle_alpha 90.00
_cell_angle_beta 90.00
_cell_angle_gamma 90.00
_symmetry_space_group_name_H-M 'P 1'
_symmetry_Int_Tables_number 1
loop_
_symmetry_equiv_pos_as_xyz
'x,y,z'
loop_
_atom_site_label
_atom_site_fract_x
_atom_site_fract_y
_atom_site_fract_z
_atom_site_occupancy
La1 0.000 0.000 0.000 1
Mg1 0.000 0.500 0.500 1
Mg2 0.500 0.000 0.500 1
Zr1 0.000 0.000 0.500 1
Tc1 0.500 0.500 0.000 1
# - SG = P4/mmm (123)
# - E_form (meV per atom) = 1524
# - theoretical density (g/cm³) = 3.89

---

# Ac2Ge4Pd5 (PBE, relaxed)
data_Ac2Ge4Pd5
_cell_length_a 8.944
_cell_length_b 7.864
_cell_length_c 6.033
_cell_angle_alpha 78.91
_cell_angle_beta 59.64
_cell_angle_gamma 41.45
_symmetry_space_group_name_H-M 'P 1'
_symmetry_Int_Tables_number 1
loop_
_symmetry_equiv_pos_as_xyz
'x,y,z'
loop_
_atom_site_label
_atom_site_fract_x
_atom_site_fract_y
_atom_site_fract_z
_atom_site_occupancy
Ac1 0.142 0.142 0.858 1
Ac2 0.858 0.858 0.142 1
Ge1 0.217 0.522 0.478 1
Ge2 0.478 0.783 0.217 1
Ge3 0.522 0.217 0.783 1
Ge4 0.783 0.478 0.522 1
Pd1 0.000 0.000 0.500 1
Pd2 0.250 0.250 0.250 1
Pd3 0.500 0.500 0.000 1
Pd4 0.500 0.500 0.500 1
Pd5 0.750 0.750 0.750 1
# - SG = Fmmm (69)
# - E_form (meV per atom) = -698
# - theoretical density (g/cm³) = 9.25

---

# SmAl11Cr (PBE, relaxed)
data_SmAl11Cr
_cell_length_a 6.878
_cell_length_b 6.878
_cell_length_c 7.126
_cell_angle_alpha 97.77
_cell_angle_beta 97.77
_cell_angle_gamma 135.31
_symmetry_space_group_name_H-M 'P 1'
_symmetry_Int_Tables_number 1
loop_
_symmetry_equiv_pos_as_xyz
'x,y,z'
loop_
_atom_site_label
_atom_site_fract_x
_atom_site_fract_y
_atom_site_fract_z
_atom_site_occupancy
Sm1 0.000 0.000 0.000 1
Al1 0.000 0.000 0.500 1
Al2 0.000 0.500 0.000 1
Al3 0.027 0.372 0.363 1
Al4 0.285 0.501 0.774 1
Al5 0.372 0.027 0.363 1
Al6 0.499 0.715 0.226 1
Al7 0.500 0.000 0.000 1
Al8 0.501 0.285 0.774 1
Al9 0.628 0.973 0.637 1
Al10 0.715 0.499 0.226 1
Al11 0.973 0.628 0.637 1
Cr1 0.500 0.500 0.500 1
# - SG = C2/m (12)
# - E_form (meV per atom) = -163
# - theoretical density (g/cm³) = 3.74